CaEu4O5 after structural relaxation, computed with PBE-GGA.

Structure (POSCAR):
```
CaEu4O5
1.0
-3.983 3.983 2.522
3.983 -3.983 2.522
3.983 3.983 -2.522
Ca Eu O
1 4 5
Cartesian
0.000 0.000 0.000
4.778 1.598 0.000
1.598 3.187 0.000
2.385 0.796 2.522
-0.796 2.385 2.522
2.333 0.784 0.000
3.199 -1.650 2.522
0.000 0.000 2.522
0.784 5.632 0.000
1.650 3.199 2.522
```

## Properties
Formation energy without anion corrections in eV per atom: -2.797
SG: I4/m (87)
Theoretical density in g cm⁻³: 7.55

CuNi3Sb after structural relaxation, computed with PBE-GGA.

Structure (POSCAR):
```
CuNi3Sb
1.0
2.408 -6.404 0.000
2.408 6.404 0.000
0.000 0.000 4.556
Cu Ni Sb
2 6 2
Cartesian
2.408 5.804 3.417
2.408 -5.804 1.139
1.166 1.767 3.417
1.166 -1.767 1.139
2.408 0.000 0.000
2.408 0.000 2.278
3.650 1.767 3.417
3.650 -1.767 1.139
2.408 2.356 1.139
2.408 -2.356 3.417
```

## Properties
Formation energy without anion corrections in eV per atom: 0.019
SG: Cmcm (63)
Theoretical density in g cm⁻³: 8.54

TaAgMo2 after structural relaxation, computed with PBE-GGA.

Structure (POSCAR):
```
TaAgMo2
1.0
-1.702 2.265 4.371
1.702 -2.265 4.371
1.702 2.265 -4.371
Ta Ag Mo
1 1 2
Cartesian
0.000 0.000 0.000
1.702 0.000 2.319
0.000 0.000 4.622
0.000 2.265 2.239
```

## Properties
Energy of formation in eV per atom: 0.317
SG: Imm2 (44)
Theoretical density in g cm⁻³: 11.84

Dy5Bi4P after structural relaxation, computed with PBE-GGA.

Structure (POSCAR):
```
Dy5Bi4P
1.0
-4.896 4.896 3.112
4.896 -4.896 3.112
4.896 4.896 -3.112
Dy Bi P
5 4 1
Cartesian
0.000 0.000 0.000
3.945 2.186 0.000
2.710 -0.950 3.112
2.186 5.846 0.000
0.950 2.710 3.112
6.810 0.899 0.000
0.899 2.981 0.000
3.997 1.915 3.112
-1.915 3.997 3.112
0.000 0.000 3.112
```

## Properties
Energy of formation in eV per atom: -0.963
SG: I4/m (87)
Theoretical density in g cm⁻³: 9.35